The following is a GGA-PBE calculation of crystalline ScAs3Cl at its relaxed geometry, from Alexandria.

E   -20.9 eV/cell
Calculated volume   26.695 Å³ per atom
Energy relative to the elements, uncorrected   0.237 eV per atom
D(E_F)   3.8 states/eV per cell

a = 5.1105 Å, b = 5.1105 Å, c = 5.1105 Å
α = 90.00°, β = 90.00°, γ = 90.00°
Closest atoms and distances in Å follow each position.
Space group Pm-3m (No. 221)
Inequivalent atoms, fractional coordinates:
Sc: 0.0000 0.0000 0.0000 (multiplicity 1)  6 As 2.56
As: 0.0000 0.0000 0.5000 (multiplicity 3)  2 Sc 2.56
Cl: 0.5000 0.5000 0.5000 (multiplicity 1)  12 As 3.61